Entry 1:
# PrEuMgSi

Crystalline PrEuMgSi at its relaxed geometry (GGA-PBE, Alexandria via LeMat-Bulk).

Values from the calculation:
Formation energy without anion corrections: -249 meV/atom
Raw total energy: -23.07 eV/cell

abc: 5.3021 5.3021 5.3021
angles: 60.00 60.00 60.00
With the nearest neighbours (Å) after each atom.
Fractional coordinates of all 4 atoms:
Pr1 0.0000 0.0000 0.0000  4 Mg 3.25, 4 Si 3.25
Eu1 0.5000 0.5000 0.5000  4 Mg 3.25, 4 Si 3.25
Mg1 0.2500 0.2500 0.2500  4 Eu 3.25, 4 Pr 3.25
Si1 0.7500 0.7500 0.7500  4 Eu 3.25, 4 Pr 3.25

---

Entry 2:
# Ta2OsRu

Crystalline Ta2OsRu at its relaxed geometry (GGA-PBE, Alexandria via LeMat-Bulk).

Values from the calculation:
Raw total energy: -44.61 eV/cell
Energy above the lowest structure with this stoichiometry: 0.219 eV/atom
Calculated formation energy: -9.66 kJ per mole of atoms

abc: 5.1114 5.1114 2.8366
angles: 100.66 100.66 112.38
With the nearest neighbours (Å) after each atom.
Fractional coordinates of all 4 atoms:
Ta1 0.0000 0.5000 0.0000  2 Os 2.68, 2 Ru 2.68, 4 Ta 2.84
Ta2 0.5000 0.0000 0.0000  2 Ru 2.68, 2 Os 2.68, 4 Ta 2.84
Os1 0.0000 0.0000 0.5000  4 Ta 2.68, 2 Os 2.84, 2 Ru 2.84
Ru1 0.5000 0.5000 0.5000  4 Ta 2.68, 2 Ru 2.84, 2 Os 2.84

---

Entry 3:
# ReIrPd3

Crystalline ReIrPd3 at its relaxed geometry (GGA-PBE, Alexandria via LeMat-Bulk).

Values from the calculation:
Raw total energy: -27.21 eV/cell
Energy above the lowest structure with this stoichiometry: 0.133 eV/atom
Calculated formation energy: 186.77 kJ per mole of atoms

abc: 4.7859 4.7859 4.7859
angles: 90.00 90.00 90.00
With the nearest neighbours (Å) after each atom.
Fractional coordinates of all 5 atoms:
Re1 0.0000 0.0000 0.0000  12 Pd 3.38
Ir1 0.5000 0.5000 0.5000  6 Pd 2.39
Pd1 0.0000 0.5000 0.5000  2 Ir 2.39
Pd2 0.5000 0.0000 0.5000  2 Ir 2.39
Pd3 0.5000 0.5000 0.0000  2 Ir 2.39

---

Entry 4:
# Mg5Cd2Ag5

Crystalline Mg5Cd2Ag5 at its relaxed geometry (GGA-PBE, Alexandria via LeMat-Bulk).

Values from the calculation:
Raw total energy: -25.89 eV/cell
Calculated formation energy: -14.70 kJ per mole of atoms

abc: 5.0022 5.2986 9.9716
angles: 80.60 87.83 62.32
With the nearest neighbours (Å) after each atom.
Fractional coordinates of all 12 atoms:
Mg1 0.0000 0.0000 0.0000  8 Ag 2.93-3.11, 2 Cd 3.06, 2 Mg 3.07
Mg2 0.1601 0.1813 0.5006  5 Ag 2.88-3.20, 1 Cd 2.97, 4 Mg 2.99-3.09
Mg3 0.3027 0.7108 0.7540  5 Ag 2.87-3.00, 3 Cd 2.97-3.06, 2 Mg 3.07-3.09
Mg4 0.6973 0.2892 0.2460  5 Ag 2.87-3.00, 3 Cd 2.97-3.06, 2 Mg 3.07-3.09
Mg5 0.8399 0.8187 0.4994  5 Ag 2.88-3.20, 1 Cd 2.97, 4 Mg 2.99-3.09
Cd1 0.3840 0.9298 0.2486  6 Ag 2.92-3.14, 6 Mg 2.97-3.24
Cd2 0.6160 0.0702 0.7514  6 Ag 2.92-3.14, 6 Mg 2.97-3.24
Ag1 0.0458 0.5979 0.2487  5 Mg 2.88-2.94, 3 Cd 2.94-3.14, 2 Ag 3.00-3.07
Ag2 0.3323 0.3363 0.0027  5 Mg 2.87-3.11, 5 Ag 2.91-3.17, 2 Cd 2.92-3.05
Ag3 0.5000 0.5000 0.5000  8 Mg 2.89-3.20, 2 Cd 2.97
Ag4 0.6677 0.6637 0.9973  5 Mg 2.87-3.11, 5 Ag 2.91-3.17, 2 Cd 2.92-3.05
Ag5 0.9542 0.4021 0.7513  5 Mg 2.88-2.94, 3 Cd 2.94-3.14, 2 Ag 3.00-3.07

---

Entry 5:
# Sr2SI

Crystalline Sr2SI at its relaxed geometry (GGA-PBE, Alexandria via LeMat-Bulk).

Values from the calculation:
Formation energy without anion corrections: -1623 meV/atom
Raw total energy: -15.53 eV/cell
Energy above the lowest structure with this stoichiometry: 0.001 eV/atom

abc: 8.4298 8.4298 8.4298
angles: 30.11 30.11 30.11
With the nearest neighbours (Å) after each atom.
Fractional coordinates of all 4 atoms:
Sr1 0.0000 0.0000 0.0000  3 S 2.93
Sr2 0.2015 0.2015 0.2015  3 S 3.05
S1 0.6056 0.6056 0.6056  6 Sr 2.93-3.05
I1 0.4312 0.4312 0.4312  6 Sr 3.46-3.56

---

Entry 6:
# YMgCr

Crystalline YMgCr at its relaxed geometry (GGA-PBE, Alexandria via LeMat-Bulk).

Values from the calculation:
Raw total energy: -15.95 eV/cell
Calculated formation energy: 55.75 kJ per mole of atoms

abc: 4.8275 4.8275 4.8275
angles: 60.00 60.00 60.00
With the nearest neighbours (Å) after each atom.
Fractional coordinates of all 3 atoms:
Y1 0.0000 0.0000 0.0000  4 Cr 2.96
Mg1 0.5000 0.5000 0.5000  4 Cr 2.96
Cr1 0.2500 0.2500 0.2500  4 Mg 2.96, 4 Y 2.96

---

Entry 7:
# Pr2ZrGe3

Crystalline Pr2ZrGe3 at its relaxed geometry (GGA-PBE, Alexandria via LeMat-Bulk).

Values from the calculation:
Raw total energy: -35.90 eV/cell
Calculated formation energy: -63.36 kJ per mole of atoms

abc: 7.1769 7.1769 7.1769
angles: 145.92 131.62 60.50
With the nearest neighbours (Å) after each atom.
Fractional coordinates of all 6 atoms:
Pr1 0.1720 0.1720 0.0000  6 Ge 2.96-3.08
Pr2 0.8280 0.8280 0.0000  6 Ge 2.96-3.08
Zr1 0.5000 0.5000 0.0000  6 Ge 2.78-2.94
Ge1 0.0000 0.5000 0.5000  2 Zr 2.94, 4 Pr 3.00
Ge2 0.3539 0.8539 0.5000  2 Zr 2.78, 4 Pr 2.96-3.08
Ge3 0.6461 0.1461 0.5000  2 Zr 2.78, 4 Pr 2.96-3.08

---

Entry 8:
# RuO2F4

Crystalline RuO2F4 at its relaxed geometry (GGA-PBE, Alexandria via LeMat-Bulk).

Values from the calculation:
Formation energy without anion corrections: -337 meV/atom
Raw total energy: -29.04 eV/cell

abc: 3.3790 3.4240 8.2328
angles: 85.30 78.22 89.86
With the nearest neighbours (Å) after each atom.
Fractional coordinates of all 7 atoms:
Ru1 0.0000 0.0000 0.0000  8 F 2.05-2.06
O1 0.2289 0.6763 0.5335  2 O 2.15-2.19
O2 0.7711 0.3237 0.4665  2 O 2.15-2.19
F1 0.0710 0.5278 0.8568  2 Ru 2.06, 1 F 2.30
F2 0.4281 0.9713 0.1449  2 Ru 2.05
F3 0.5719 0.0287 0.8551  2 Ru 2.05
F4 0.9290 0.4722 0.1432  2 Ru 2.06, 1 F 2.30

---

Entry 9:
# CaZnRh2

Crystalline CaZnRh2 at its relaxed geometry (GGA-PBE, Alexandria via LeMat-Bulk).

Values from the calculation:
Raw total energy: -18.46 eV/cell
Calculated formation energy: -11.54 kJ per mole of atoms

abc: 3.2972 3.2972 6.5200
angles: 90.00 90.00 90.00
With the nearest neighbours (Å) after each atom.
Fractional coordinates of all 4 atoms:
Ca1 0.0000 0.0000 0.0000  5 Rh 2.90-3.18, 4 Zn 3.18
Zn1 0.5000 0.5000 0.6688  5 Rh 2.55-2.64
Rh1 0.0000 0.0000 0.5121  4 Zn 2.55, 4 Rh 2.84
Rh2 0.5000 0.5000 0.2637  1 Zn 2.64, 4 Rh 2.84, 4 Ca 2.90

---

Entry 10:
# Mg2TcAg

Crystalline Mg2TcAg at its relaxed geometry (GGA-PBE, Alexandria via LeMat-Bulk).

Values from the calculation:
Raw total energy: -15.44 eV/cell
Energy above the lowest structure with this stoichiometry: 0.154 eV/atom
Calculated formation energy: 23.20 kJ per mole of atoms

abc: 2.7982 2.7982 9.2385
angles: 90.00 90.00 102.83
With the nearest neighbours (Å) after each atom.
Fractional coordinates of all 4 atoms:
Mg1 0.0000 0.0000 0.0000  4 Tc 2.76-3.05, 4 Mg 2.80
Mg2 0.5000 0.5000 0.2834  4 Mg 2.80, 4 Ag 2.82-3.12
Tc1 0.5000 0.5000 0.7692  4 Mg 2.76-3.05, 4 Tc 2.80, 2 Ag 2.86
Ag1 0.0000 0.0000 0.5238  4 Ag 2.80, 4 Mg 2.82-3.12, 2 Tc 2.86

---

Entry 11:
# Zr4Tl2N

Crystalline Zr4Tl2N at its relaxed geometry (GGA-PBE, Alexandria via LeMat-Bulk).

Values from the calculation:
Formation energy without anion corrections: -406 meV/atom
Raw total energy: -50.10 eV/cell
Energy above the lowest structure with this stoichiometry: 0.092 eV/atom

abc: 5.9812 3.2378 8.1107
angles: 90.00 107.14 90.00
With the nearest neighbours (Å) after each atom.
Fractional coordinates of all 7 atoms:
Zr1 0.1107 0.0000 0.3094  1 N 2.40
Zr2 0.2437 0.5000 0.0038  2 N 2.17
Zr3 0.7563 0.5000 0.9962  2 N 2.17
Zr4 0.8893 0.0000 0.6906  1 N 2.40
Tl1 0.3630 0.5000 0.6591  6 Zr 3.04-3.34, 2 Tl 3.24
Tl2 0.6370 0.5000 0.3409  6 Zr 3.04-3.34, 2 Tl 3.24
N1 0.0000 0.0000 0.0000  6 Zr 2.17-2.40

---

Entry 12:
# LaHf3P

Crystalline LaHf3P at its relaxed geometry (GGA-PBE, Alexandria via LeMat-Bulk).

Values from the calculation:
Raw total energy: -31.23 eV/cell
Energy above the lowest structure with this stoichiometry: 2.018 eV/atom
Calculated formation energy: 173.06 kJ per mole of atoms

abc: 5.1304 5.1304 5.1304
angles: 90.00 90.00 90.00
With the nearest neighbours (Å) after each atom.
Fractional coordinates of all 5 atoms:
La1 0.0000 0.0000 0.0000  6 Hf 2.57
Hf1 0.0000 0.0000 0.5000  2 La 2.57
Hf2 0.0000 0.5000 0.0000  2 La 2.57
Hf3 0.5000 0.0000 0.0000  2 La 2.57
P1 0.5000 0.5000 0.5000  12 Hf 3.63

---

Entry 13:
# GdPu2C

Crystalline GdPu2C at its relaxed geometry (GGA-PBE, Alexandria via LeMat-Bulk).

Values from the calculation:
Raw total energy: -51.00 eV/cell
Energy above the lowest structure with this stoichiometry: 0.130 eV/atom
Calculated formation energy: 23.34 kJ per mole of atoms

abc: 3.1654 3.1654 8.8359
angles: 90.00 90.00 90.00
With the nearest neighbours (Å) after each atom.
Fractional coordinates of all 4 atoms:
Gd1 0.0000 0.0000 0.0000  4 Gd 3.17
Pu1 0.5000 0.5000 0.3461  4 C 2.62, 1 Pu 2.72
Pu2 0.5000 0.5000 0.6539  4 C 2.62, 1 Pu 2.72
C1 0.0000 0.0000 0.5000  8 Pu 2.62

---

Calculated density, record by record: 5440; 16783; 10569; 6375; 4154; 3448; 6398; 3736; 7293; 5992; 8714; 8674; 12328 kg/m³